No. 1
# BaPd3S | the Alexandria database | PBE-GGA | relaxed
data_BaPd3S
_chemical_formula_sum 'Ba1 Pd3 S1'
_symmetry_space_group_name_H-M 'P m -3 m'
_symmetry_Int_Tables_number 221
_symmetry_space_group_name_Hall '-P 4 2 3'
_cell_length_a 4.752
_cell_length_b 4.752
_cell_length_c 4.752
_cell_angle_alpha 90.00
_cell_angle_beta 90.00
_cell_angle_gamma 90.00
loop_
_atom_site_label
_atom_site_type_symbol
_atom_site_fract_x
_atom_site_fract_y
_atom_site_fract_z
Ba1 Ba 0.000 0.000 0.000
Pd1 Pd 0.000 0.500 0.500
S1 S 0.500 0.500 0.500
# Formation energy from raw total energies, eV/f.u.: -2.91
# Energy above the lowest structure with this stoichiometry, meV/atom: 0

***

No. 2
# Ba8Pd2S | the Alexandria database | PBE-GGA | relaxed
data_Ba8Pd2S
_chemical_formula_sum 'Ba16 Pd4 S2'
_symmetry_space_group_name_H-M 'C 1 2/m 1'
_symmetry_Int_Tables_number 12
_cell_length_a 16.118
_cell_length_b 11.191
_cell_length_c 6.521
_cell_angle_alpha 90.00
_cell_angle_beta 91.53
_cell_angle_gamma 90.00
loop_
_symmetry_equiv_pos_as_xyz
'x,y,z'
'-x,-y,-z'
'-x,y,-z'
'x,-y,z'
'x+1/2,y+1/2,z'
'-x+1/2,-y+1/2,-z'
'-x+1/2,y+1/2,-z'
'x+1/2,-y+1/2,z'
loop_
_atom_site_label
_atom_site_type_symbol
_atom_site_fract_x
_atom_site_fract_y
_atom_site_fract_z
Ba1 Ba 0.097 0.209 0.274
Ba2 Ba 0.100 0.500 0.762
Ba3 Ba 0.181 0.000 0.746
Pd1 Pd 0.216 0.000 0.243
S1 S 0.000 0.000 0.500
# Formation energy from raw total energies, eV/f.u.: -4.29

***

Q: What is the formula in the second record?
A: Ba8Pd2S